Record 1
VASP calculation (PBE-GGA) on crystalline Zn6InCu6 at its relaxed geometry.

Calculated values
energy	-35.56	eV for the cell shown
V	14.31	Å³ per atom
D(E_F)	2.48	states/eV/cell

abc: 4.968 6.605 6.605
angles: 80.44 67.91 67.91
Positions (direct):
Cu: 0.000 0.000 0.500
Zn: 0.349 0.651 0.651
Cu: 0.500 0.000 0.500
Zn: 0.000 0.344 0.656
Cu: 0.500 0.769 0.231
In: 0.000 0.000 0.000
Zn: 0.000 0.656 0.344
Zn: 0.651 0.349 0.349
Zn: 0.698 0.802 0.802
Cu: 0.500 0.500 0.000
Cu: 0.000 0.500 0.000
Cu: 0.500 0.231 0.769
Zn: 0.302 0.198 0.198

***

Record 2
VASP calculation (PBE-GGA) on crystalline Zn2InCu at its relaxed geometry.

Calculated values
energy	-8.56	eV for the cell shown
V	19.21	Å³ per atom
D(E_F)	0.99	states/eV/cell

abc: 3.647 3.647 6.994
angles: 74.89 74.89 60.00
Positions (direct):
Cu: 0.665 0.665 0.005
Zn: 0.066 0.066 0.801
Zn: 0.268 0.268 0.197
In: 0.501 0.501 0.497

***

Question: D(E_F) of number 2 (Zn2InCu)?
Answer: 0.99 states/eV/cell